This record from the Alexandria database describes AlCrF2 after structural relaxation. The functional is PBE+U.

Geometry as extended XYZ:
```
4
Lattice="-3.469 5.432 -3.411 -5.638 3.312 -3.227 -5.098 5.142 -0.863" Properties=species:S:1:pos:R:3 pbc="T T T"
F -12.949 12.658 -6.838
F -1.256 1.228 -0.663
Al 0.000 0.000 0.000
Cr -7.102 6.943 -3.751
```

## Properties
Crystal system: trigonal
Mass density in g/cm³: 3.43
Energy in eV per cell: -21.1
V in Å³/cell: 57